# 1
Below is an optimized crystal structure of LaIr2Pt, with properties calculated at the GGA-PBE level.

E, eV/atom: -7.309
Total magnetic moment, μB per atom: 0.000
ΔE to the lowest computed polymorph, meV per atom: 199
Formation energy, eV per atom: -0.14

a b c (Å): 9.431 3.053 5.419
angles (deg): 90.00 101.30 90.00
Space group Cm (No. 8)
Unique sites:
La 0.000 0.000 0.000 x2
Ir 0.260 0.500 0.330 x2
Ir 0.494 0.000 0.465 x2
Pt 0.235 0.000 0.722 x2

---

# 2
Below is an optimized crystal structure of LaIr3Pt, with properties calculated at the GGA-PBE level.

E, eV/atom: -5.294
Total magnetic moment, μB per atom: 0.265
ΔE to the lowest computed polymorph, meV per atom: 1383
Formation energy, eV per atom: 2.22

a b c (Å): 4.872 4.872 4.872
angles (deg): 90.00 90.00 90.00
Space group Pm-3m (No. 221)
Unique sites:
La 0.000 0.000 0.000 x1
Ir 0.000 0.000 0.500 x3
Pt 0.500 0.500 0.500 x1

---

# 3
Below is an optimized crystal structure of La3IrPt, with properties calculated at the GGA-PBE level.

E, eV/atom: -6.768
Total magnetic moment, μB per atom: 0.000
ΔE to the lowest computed polymorph, meV per atom: 0
Formation energy, eV per atom: -0.83

a b c (Å): 15.160 4.343 9.871
angles (deg): 90.00 106.09 90.00
Space group C2/m (No. 12)
Unique sites:
La 0.030 0.000 0.305 x4
La 0.144 0.500 0.004 x4
La 0.194 0.500 0.635 x4
Ir 0.163 0.000 0.816 x4
Pt 0.161 0.500 0.317 x4

---

# 4
Below is an optimized crystal structure of LaIrPt2, with properties calculated at the GGA-PBE level.

E, eV/atom: -6.289
Total magnetic moment, μB per atom: 0.395
ΔE to the lowest computed polymorph, meV per atom: 862
Formation energy, eV per atom: 0.18

a b c (Å): 2.9298 2.9298 29.4542
angles (deg): 90.00 90.00 120.00
Space group R-3m (No. 166, hexagonal axes)
Unique sites:
La 0.0000 0.0000 0.0000 x3
Ir 0.0000 0.0000 0.5000 x3
Pt 0.0000 0.0000 0.2416 x6

---

E of number 3 (La3IrPt)? -6.768 eV/atom